1.
# PBE LaReSCl2, relaxed
data_LaReSCl2
_chemical_formula_sum 'La1 Re1 S1 Cl2'
_space_group_name_H-M_alt 'P 4/m m m'
_space_group_IT_number 123
_space_group_name_Hall '-P 4 2'
_cell_length_a 4.817
_cell_length_b 4.817
_cell_length_c 4.636
_cell_angle_alpha 90.00
_cell_angle_beta 90.00
_cell_angle_gamma 90.00
loop_
_atom_site_label
_atom_site_type_symbol
_atom_site_fract_x
_atom_site_fract_y
_atom_site_fract_z
La1 La 0.000 0.000 0.000
Re1 Re 0.500 0.500 0.500
S1 S 0.500 0.500 0.000
Cl1 Cl 0.000 0.500 0.500
# Total DFT energy (no corrections) ... -5.485 eV/atom

---

2.
# PBE AgOsW2, relaxed
data_AgOsW2
_chemical_formula_sum 'Ag1 Os1 W2'
_space_group_name_H-M_alt 'P 4/m m m'
_space_group_IT_number 123
_space_group_name_Hall '-P 4 2'
_cell_length_a 3.929
_cell_length_b 3.929
_cell_length_c 4.066
_cell_angle_alpha 90.00
_cell_angle_beta 90.00
_cell_angle_gamma 90.00
loop_
_atom_site_label
_atom_site_type_symbol
_atom_site_fract_x
_atom_site_fract_y
_atom_site_fract_z
Ag1 Ag 0.000 0.000 0.000
Os1 Os 0.500 0.500 0.000
W1 W 0.000 0.500 0.500
# Distance to the lowest polymorph of the same formula ... 0.130 eV/atom

---

3.
# PBE ThNiP2Rh7, relaxed
data_ThNiP2Rh7
_chemical_formula_sum 'Th2 Ni2 P4 Rh14'
_space_group_name_H-M_alt 'I -4 m 2'
_space_group_IT_number 119
_space_group_name_Hall 'I -4 -2'
_cell_length_a 4.353
_cell_length_b 4.353
_cell_length_c 18.211
_cell_angle_alpha 90.00
_cell_angle_beta 90.00
_cell_angle_gamma 90.00
loop_
_atom_site_label
_atom_site_type_symbol
_atom_site_fract_x
_atom_site_fract_y
_atom_site_fract_z
Th1 Th 0.000 0.000 0.000
Ni1 Ni 0.000 0.500 0.250
P1 P 0.000 0.000 0.337
Rh1 Rh 0.000 0.000 0.210
Rh2 Rh 0.000 0.000 0.500
Rh3 Rh 0.000 0.500 0.111
Rh4 Rh 0.000 0.500 0.616
# Total DFT energy (no corrections) ... -7.251 eV/atom

---

4.
# PBE PuAl2Cr, relaxed
data_PuAl2Cr
_chemical_formula_sum 'Pu1 Al2 Cr1'
_space_group_name_H-M_alt 'P 4/m m m'
_space_group_IT_number 123
_space_group_name_Hall '-P 4 2'
_cell_length_a 2.587
_cell_length_b 2.587
_cell_length_c 8.850
_cell_angle_alpha 90.00
_cell_angle_beta 90.00
_cell_angle_gamma 90.00
loop_
_atom_site_label
_atom_site_type_symbol
_atom_site_fract_x
_atom_site_fract_y
_atom_site_fract_z
Pu1 Pu 0.000 0.000 0.000
Al1 Al 0.500 0.500 0.280
Cr1 Cr 0.000 0.000 0.500
# Total DFT energy (no corrections) ... -7.771 eV/atom

---

5.
# PBE DyHoTi4, relaxed
data_DyHoTi4
_chemical_formula_sum 'Dy4 Ho4 Ti16'
_space_group_name_H-M_alt 'F -4 3 m'
_space_group_IT_number 216
_space_group_name_Hall 'F -4 2 3'
_cell_length_a 8.203
_cell_length_b 8.203
_cell_length_c 8.203
_cell_angle_alpha 90.00
_cell_angle_beta 90.00
_cell_angle_gamma 90.00
loop_
_atom_site_label
_atom_site_type_symbol
_atom_site_fract_x
_atom_site_fract_y
_atom_site_fract_z
Dy1 Dy 0.000 0.000 0.000
Ho1 Ho 0.250 0.250 0.750
Ti1 Ti 0.125 0.125 0.375
# Total DFT energy (no corrections) ... -6.554 eV/atom

---

6.
# PBE LaHgH2Ir, relaxed
data_LaHgH2Ir
_chemical_formula_sum 'La1 Hg1 H2 Ir1'
_space_group_name_H-M_alt 'P 4/m m m'
_space_group_IT_number 123
_space_group_name_Hall '-P 4 2'
_cell_length_a 4.115
_cell_length_b 4.115
_cell_length_c 5.179
_cell_angle_alpha 90.00
_cell_angle_beta 90.00
_cell_angle_gamma 90.00
loop_
_atom_site_label
_atom_site_type_symbol
_atom_site_fract_x
_atom_site_fract_y
_atom_site_fract_z
La1 La 0.000 0.000 0.000
Hg1 Hg 0.500 0.500 0.000
H1 H 0.000 0.500 0.500
Ir1 Ir 0.500 0.500 0.500
# Total DFT energy (no corrections) ... -3.948 eV/atom

---

7.
# PBE DyTh2Si3Ir4, relaxed
data_DyTh2Si3Ir4
_chemical_formula_sum 'Dy1 Th2 Si3 Ir4'
_space_group_name_H-M_alt 'P -4 m 2'
_space_group_IT_number 115
_cell_length_a 4.122
_cell_length_b 4.122
_cell_length_c 11.242
_cell_angle_alpha 90.00
_cell_angle_beta 90.00
_cell_angle_gamma 90.00
loop_
_space_group_symop_operation_xyz
'x,y,z'
'y,-x,-z'
'-x,-y,z'
'-y,x,-z'
'-x,y,z'
'-y,-x,-z'
'x,-y,z'
'y,x,-z'
loop_
_atom_site_label
_atom_site_type_symbol
_atom_site_fract_x
_atom_site_fract_y
_atom_site_fract_z
Dy1 Dy 0.000 0.000 0.000
Th1 Th 0.000 0.500 0.730
Si1 Si 0.000 0.500 0.383
Si2 Si 0.500 0.500 0.000
Ir1 Ir 0.000 0.000 0.500
Ir2 Ir 0.000 0.500 0.170
Ir3 Ir 0.500 0.500 0.500
# Total DFT energy (no corrections) ... -8.098 eV/atom

---

8.
# PBE Mg2CrRh2, relaxed
data_Mg2CrRh2
_chemical_formula_sum 'Mg4 Cr2 Rh4'
_space_group_name_H-M_alt 'P 4/m b m'
_space_group_IT_number 127
_space_group_name_Hall '-P 4 2ab'
_cell_length_a 6.246
_cell_length_b 6.246
_cell_length_c 4.201
_cell_angle_alpha 90.00
_cell_angle_beta 90.00
_cell_angle_gamma 90.00
loop_
_atom_site_label
_atom_site_type_symbol
_atom_site_fract_x
_atom_site_fract_y
_atom_site_fract_z
Mg1 Mg 0.168 0.332 0.000
Cr1 Cr 0.000 0.000 0.500
Rh1 Rh 0.145 0.645 0.500
# Total DFT energy (no corrections) ... -5.564 eV/atom

---

9.
# PBE Ce3Pr2PuS6, relaxed
data_Ce3Pr2PuS6
_chemical_formula_sum 'Ce6 Pr4 Pu2 S12'
_space_group_name_H-M_alt 'C 1 2/m 1'
_space_group_IT_number 12
_cell_length_a 17.646
_cell_length_b 4.032
_cell_length_c 8.103
_cell_angle_alpha 90.00
_cell_angle_beta 103.64
_cell_angle_gamma 90.00
loop_
_space_group_symop_operation_xyz
'x,y,z'
'-x,-y,-z'
'-x,y,-z'
'x,-y,z'
'x+1/2,y+1/2,z'
'-x+1/2,-y+1/2,-z'
'-x+1/2,y+1/2,-z'
'x+1/2,-y+1/2,z'
loop_
_atom_site_label
_atom_site_type_symbol
_atom_site_fract_x
_atom_site_fract_y
_atom_site_fract_z
Ce1 Ce 0.000 0.000 0.000
Ce2 Ce 0.168 0.500 0.335
Pr1 Pr 0.165 0.500 0.831
Pu1 Pu 0.000 0.000 0.500
S1 S 0.002 0.500 0.256
S2 S 0.165 0.000 0.579
S3 S 0.166 0.000 0.087
# Total DFT energy (no corrections) ... -7.532 eV/atom

---

10.
# PBE RbHf2Zr, relaxed
data_RbHf2Zr
_chemical_formula_sum 'Rb4 Hf8 Zr4'
_space_group_name_H-M_alt 'F m -3 m'
_space_group_IT_number 225
_space_group_name_Hall '-F 4 2 3'
_cell_length_a 7.443
_cell_length_b 7.443
_cell_length_c 7.443
_cell_angle_alpha 90.00
_cell_angle_beta 90.00
_cell_angle_gamma 90.00
loop_
_atom_site_label
_atom_site_type_symbol
_atom_site_fract_x
_atom_site_fract_y
_atom_site_fract_z
Rb1 Rb 0.000 0.000 0.000
Hf1 Hf 0.250 0.250 0.250
Zr1 Zr 0.000 0.000 0.500
# Distance to the lowest polymorph of the same formula ... 0.000 eV/atom

---

11.
# PBE Cs4PI2, relaxed
data_Cs4PI2
_chemical_formula_sum 'Cs8 P2 I4'
_space_group_name_H-M_alt 'I 4/m m m'
_space_group_IT_number 139
_space_group_name_Hall '-I 4 2'
_cell_length_a 6.593
_cell_length_b 6.593
_cell_length_c 20.415
_cell_angle_alpha 90.00
_cell_angle_beta 90.00
_cell_angle_gamma 90.00
loop_
_atom_site_label
_atom_site_type_symbol
_atom_site_fract_x
_atom_site_fract_y
_atom_site_fract_z
Cs1 Cs 0.000 0.000 0.170
Cs2 Cs 0.000 0.500 0.000
P1 P 0.000 0.000 0.000
I1 I 0.000 0.000 0.361
# Total DFT energy (no corrections) ... -2.545 eV/atom

---

12.
# PBE AcZnSiAu6, relaxed
data_AcZnSiAu6
_chemical_formula_sum 'Ac4 Zn4 Si4 Au24'
_space_group_name_H-M_alt 'I m m a'
_space_group_IT_number 74
_space_group_name_Hall '-I 2b 2'
_cell_length_a 7.269
_cell_length_b 8.624
_cell_length_c 12.135
_cell_angle_alpha 90.00
_cell_angle_beta 90.00
_cell_angle_gamma 90.00
loop_
_atom_site_label
_atom_site_type_symbol
_atom_site_fract_x
_atom_site_fract_y
_atom_site_fract_z
Ac1 Ac 0.000 0.250 0.206
Zn1 Zn 0.250 0.250 0.750
Si1 Si 0.000 0.000 0.000
Au1 Au 0.000 0.250 0.483
Au2 Au 0.000 0.250 0.909
Au3 Au 0.197 0.007 0.622
# Total DFT energy (no corrections) ... -3.640 eV/atom

---

Number 1: magnetic moment 0.000 μB per cell. Number 2: magnetic moment 0.000 μB per cell. Number 3: magnetic moment 3.324 μB per cell. Number 4: magnetic moment 0.418 μB per cell. Number 5: magnetic moment 38.254 μB per cell. Number 6: magnetic moment 0.000 μB per cell. Number 7: magnetic moment 0.000 μB per cell. Number 8: magnetic moment 0.000 μB per cell. Number 9: magnetic moment 6.894 μB per cell. Number 10: magnetic moment 0.000 μB per cell. Number 11: magnetic moment 1.970 μB per cell. Number 12: magnetic moment 0.000 μB per cell.